[1]
Here is a relaxed Ta2InSe crystal from Alexandria via LeMat-Bulk. Energies are from PBE-GGA.

DOS at the Fermi energy, states/eV per cell: 2.80
Electronic total energy, eV/atom: -7.5000
Energy above the most stable polymorph in this dataset, meV per atom: 75.2
Raw formation energy, eV/atom: -0.018
SG: No. 99

Lattice parameters (Å, degrees): 3.144 3.144 8.211 90.00 90.00 90.00
Sites, in units of the cell vectors:
Ta (0.000, 0.000, 0.000)
Ta (0.500, 0.500, 0.253)
In (0.000, 0.000, 0.503)
Se (0.500, 0.500, 0.825)

=====

[2]
Here is a relaxed TaInSe2 crystal from Alexandria via LeMat-Bulk. Energies are from PBE-GGA.

DOS at the Fermi energy, states/eV per cell: 3.45
Electronic total energy, eV/atom: -5.6533
Raw formation energy, eV/atom: -0.263
SG: No. 33

Lattice parameters (Å, degrees): 6.474 10.728 5.292 90.00 90.00 90.00
Sites, in units of the cell vectors:
Ta (0.017, 0.098, 0.000)
Ta (0.483, 0.598, 0.500)
Ta (0.517, 0.402, 0.000)
Ta (0.983, 0.902, 0.500)
In (0.200, 0.341, 0.618)
In (0.300, 0.841, 0.118)
In (0.700, 0.159, 0.618)
In (0.800, 0.659, 0.118)
Se (0.145, 0.703, 0.694)
Se (0.221, 0.524, 0.184)
Se (0.279, 0.024, 0.684)
Se (0.355, 0.203, 0.194)
Se (0.645, 0.797, 0.694)
Se (0.721, 0.976, 0.184)
Se (0.779, 0.476, 0.684)
Se (0.855, 0.297, 0.194)